(1)
A relaxed In7Pb crystal, computed with PBE.

Its formation energy is 0.016 eV per atom.

Unit cell a=6.811 b=6.811 c=6.811 alpha=60.00 beta=60.00 gamma=60.00
Fractional coordinates of all 8 atoms:
In 0.500 0.000 0.000
In 0.000 0.500 0.500
In 0.500 0.500 0.000
In 0.500 0.500 0.500
In 0.000 0.500 0.000
In 0.000 0.000 0.500
In 0.500 0.000 0.500
Pb 0.000 0.000 0.000

***

(2)
A relaxed LiMg2Br crystal, computed with PBE.

The formation energy without anion corrections comes out at -1.63 eV/f.u. Its distance to the lowest polymorph of the same formula is 0.052 eV/atom.

Unit cell a=3.450 b=3.450 c=8.837 alpha=90.00 beta=90.00 gamma=114.17
Fractional coordinates of all 4 atoms:
Mg 0.500 0.500 0.269
Mg 0.000 0.000 0.995
Br 0.000 0.000 0.521
Li 0.500 0.500 0.715

***

(3)
A relaxed Sr2AlGaAg6 crystal, computed with PBE.

Its formation energy is -0.179 eV per atom.

Unit cell a=5.962 b=8.552 c=7.097 alpha=52.72 beta=65.16 gamma=89.99
Fractional coordinates of all 10 atoms:
Ag 0.767 0.769 0.965
Ag 0.249 0.117 0.501
Ag 0.751 0.883 0.499
Ag 0.233 0.231 0.035
Ag 0.732 0.230 0.035
Ag 0.268 0.770 0.965
Sr 0.750 0.297 0.499
Sr 0.250 0.703 0.501
Ga 0.500 0.500 0.000
Al 0.000 0.000 0.000

***

(4)
A relaxed CaNbBr2 crystal, computed with PBE.

The formation energy without anion corrections comes out at -1.20 eV/f.u. Its distance to the lowest polymorph of the same formula is 0.000 eV/atom.

Unit cell a=9.620 b=9.620 c=9.620 alpha=20.98 beta=20.98 gamma=20.98
Fractional coordinates of all 4 atoms:
Ca 0.500 0.500 0.500
Nb 0.000 0.000 0.000
Br 0.094 0.094 0.094
Br 0.906 0.906 0.906

***

(5)
A relaxed ScTa2F crystal, computed with PBE.

The formation energy without anion corrections comes out at 1.99 eV/f.u. Its distance to the lowest polymorph of the same formula is 0.000 eV/atom.

Unit cell a=5.442 b=5.442 c=7.118 alpha=67.53 beta=67.53 gamma=90.00
Fractional coordinates of all 8 atoms:
Sc 0.750 0.250 0.500
Sc 0.000 0.000 0.000
Ta 0.375 0.125 0.250
Ta 0.375 0.625 0.750
Ta 0.375 0.625 0.250
Ta 0.875 0.625 0.750
F 0.250 0.750 0.500
F 0.500 0.500 0.000

***

(6)
A relaxed AcLa2Cd9 crystal, computed with PBE.

Its formation energy is -0.287 eV per atom.

Unit cell a=6.132 b=6.132 c=10.327 alpha=72.73 beta=72.73 gamma=60.00
Fractional coordinates of all 12 atoms:
La 0.857 0.857 0.429
La 0.143 0.143 0.571
Cd 0.588 0.077 0.748
Cd 0.500 0.500 0.500
Cd 0.412 0.412 0.252
Cd 0.077 0.588 0.748
Cd 0.335 0.335 0.994
Cd 0.412 0.923 0.252
Cd 0.665 0.665 0.006
Cd 0.923 0.412 0.252
Cd 0.588 0.588 0.748
Ac 0.000 0.000 0.000